# 1
This record from Alexandria via LeMat-Bulk describes a relaxed ErMg3Zr2 crystal. The functional is PBE.

Its total magnetic moment is 0.000 μB per atom. The energy of formation comes out at 0.011 eV per atom.

The space group is C2/m (No. 12) and the conventional cell measures 19.7180, 3.2671 and 10.3813 Å, with angles of 90.00, 120.60 and 90.00 degrees. Symmetry generates all atoms from Er at (0.1084, 0.0000, 0.4875), Mg at (0.0560, 0.5000, 0.1748), Mg at (0.0646, 0.5000, 0.7055), Mg at (0.1089, 0.0000, 0.9872), Zr at (0.2238, 0.0000, 0.3504) and Zr at (0.2313, 0.0000, 0.8579).

# 2
This record from Alexandria via LeMat-Bulk describes a relaxed Co2Ru2Pt crystal. The functional is PBE.

Its total magnetic moment is 0.416 μB per atom. The energy of formation comes out at 0.216 eV per atom. The polymorph energy (0 for the lowest one) comes out at 0.000 eV/atom.

The space group is P4/mbm (No. 127) and the conventional cell measures 6.9892, 6.9892 and 2.6966 Å, with angles of 90.00, 90.00 and 90.00 degrees. Symmetry generates all atoms from Co at (0.1201, 0.3799, 0.0000), Ru at (0.1739, 0.6739, 0.5000) and Pt at (0.0000, 0.0000, 0.0000).

# 3
This record from Alexandria via LeMat-Bulk describes a relaxed BeTcPS2 crystal. The functional is PBE.

As for the raw formation energy: 0.82 eV/atom. Its total magnetic moment is 0.000 μB per atom. The polymorph energy (0 for the lowest one) comes out at 0.046 eV/atom.

The space group is P4/mmm (No. 123) and the conventional cell measures 4.6572, 4.6572 and 4.5779 Å, with angles of 90.00, 90.00 and 90.00 degrees. Symmetry generates all atoms from Be at (0.0000, 0.0000, 0.0000), Tc at (0.5000, 0.5000, 0.5000), P at (0.5000, 0.5000, 0.0000) and S at (0.0000, 0.5000, 0.5000).